Computed, not measured: a geometry-optimized Ta2ZnRh structure at the PBE level of DFT.

POSCAR file:
```
Ta2ZnRh
1.0
-2.2659 -2.2616 3.2532
0.7289 -2.4550 -1.1990
4.2255 -0.4724 2.6148
Rh Ta Zn
1 2 1
Cartesian
2.6173 -3.0475 2.9061
0.2650 -1.7509 2.1691
4.0863 -0.5719 2.4486
2.4227 -1.7547 0.4676
```

Calculated values
- VASP energy: -8.27 eV per atom
- Volume: 64.22 Å³ per cell
- ΔE_f: -0.188 eV/atom
- Crystal system: monoclinic